Material: KIn3Cl
Method: DFT, PBE
State: relaxed

theoretical density	2.65	g cm⁻³
energy above the most stable polymorph in this dataset	636	meV per atom
V	52.56	Å³/atom
D(E_F)	1.013	states/eV/atom

```
data_KIn3Cl
_cell_length_a 6.405
_cell_length_b 6.405
_cell_length_c 6.405
_cell_angle_alpha 90.00
_cell_angle_beta 90.00
_cell_angle_gamma 90.00
_space_group_name_H-M_alt 'P m -3 m'
_space_group_IT_number 221
_space_group_name_Hall '-P 4 2 3'
loop_
_atom_site_label
_atom_site_fract_x
_atom_site_fract_y
_atom_site_fract_z
_atom_site_occupancy
K1 0.000 0.000 0.000 1
In1 0.000 0.000 0.500 1
Cl1 0.500 0.500 0.500 1
```